Compound: YB2Ir5
Source: Alexandria
Functional: PBE
Structure: relaxed

Values from the calculation:
DFT total energy ... -8.3980 eV per atom
ΔE_f ... -0.383 eV per atom
Symmetry ... No. 71

Lattice parameters (Å, degrees): 3.9604 6.3910 9.0109 90.00 90.00 90.00
Fractional positions:
Y: 0.0000 0.0000 0.0000
Y: 0.5000 0.5000 0.5000
B: 0.0000 0.5000 0.2406
B: 0.0000 0.5000 0.7594
B: 0.5000 0.0000 0.2594
B: 0.5000 0.0000 0.7406
Ir: 0.0000 0.2092 0.3509
Ir: 0.0000 0.2092 0.6491
Ir: 0.0000 0.5000 0.0000
Ir: 0.0000 0.7908 0.3509
Ir: 0.0000 0.7908 0.6491
Ir: 0.5000 0.0000 0.5000
Ir: 0.5000 0.2908 0.1491
Ir: 0.5000 0.2908 0.8509
Ir: 0.5000 0.7092 0.1491
Ir: 0.5000 0.7092 0.8509



Compound: YB3Ir
Source: Alexandria
Functional: PBE
Structure: relaxed

Values from the calculation:
DFT total energy ... -6.7521 eV per atom
ΔE_f ... 0.319 eV per atom
Symmetry ... No. 221

Lattice parameters (Å, degrees): 4.1086 4.1086 4.1086 90.00 90.00 90.00
Fractional positions:
Y: 0.0000 0.0000 0.0000
B: 0.0000 0.5000 0.5000
B: 0.5000 0.0000 0.5000
B: 0.5000 0.5000 0.0000
Ir: 0.5000 0.5000 0.5000



Compound: YZnBIr2
Source: Alexandria
Functional: PBE
Structure: relaxed

Values from the calculation:
DFT total energy ... -6.8432 eV per atom
ΔE_f ... -0.416 eV per atom
Symmetry ... No. 123

Lattice parameters (Å, degrees): 4.2358 4.2358 4.3209 90.00 90.00 90.00
Fractional positions:
Y: 0.0000 0.0000 0.0000
Zn: 0.5000 0.5000 0.0000
B: 0.5000 0.5000 0.5000
Ir: 0.0000 0.5000 0.5000
Ir: 0.5000 0.0000 0.5000



Compound: Y2ZnB2Ir5
Source: Alexandria
Functional: PBE
Structure: relaxed

Values from the calculation:
DFT total energy ... -7.8387 eV per atom
ΔE_f ... -0.653 eV per atom
Symmetry ... No. 127

Lattice parameters (Å, degrees): 9.6590 9.6590 3.1331 90.00 90.00 90.00
Fractional positions:
Y: 0.1778 0.3222 0.0000
Y: 0.3222 0.8222 0.0000
Y: 0.6778 0.1778 0.0000
Y: 0.8222 0.6778 0.0000
Zn: 0.0000 0.0000 0.0000
Zn: 0.5000 0.5000 0.0000
B: 0.1226 0.6226 0.0000
B: 0.3774 0.1226 0.0000
B: 0.6226 0.8774 0.0000
B: 0.8774 0.3774 0.0000
Ir: 0.0000 0.5000 0.5000
Ir: 0.0674 0.7797 0.5000
Ir: 0.2203 0.0674 0.5000
Ir: 0.2797 0.5674 0.5000
Ir: 0.4326 0.2797 0.5000
Ir: 0.5000 0.0000 0.5000
Ir: 0.5674 0.7203 0.5000
Ir: 0.7203 0.4326 0.5000
Ir: 0.7797 0.9326 0.5000
Ir: 0.9326 0.2203 0.5000



Compound: Y2ZrBIr
Source: Alexandria
Functional: PBE
Structure: relaxed

Values from the calculation:
DFT total energy ... -5.8928 eV per atom
ΔE_f ... 1.510 eV per atom
Symmetry ... No. 123

Lattice parameters (Å, degrees): 5.4910 5.4910 4.7371 90.00 90.00 90.00
Fractional positions:
Y: 0.0000 0.5000 0.0000
Y: 0.5000 0.0000 0.0000
Zr: 0.0000 0.0000 0.0000
B: 0.5000 0.5000 0.5000
Ir: 0.0000 0.0000 0.5000



Compound: Zn2BIr
Source: Alexandria
Functional: PBE
Structure: relaxed

Values from the calculation:
DFT total energy ... -4.5556 eV per atom
ΔE_f ... -0.034 eV per atom
Symmetry ... No. 2

Lattice parameters (Å, degrees): 4.6070 4.7305 5.5722 78.69 88.99 60.97
Fractional positions:
Zn: 0.0658 0.2146 0.1252
Zn: 0.2674 0.1840 0.6712
Zn: 0.7326 0.8160 0.3288
Zn: 0.9342 0.7854 0.8748
B: 0.1777 0.8249 0.4958
B: 0.8223 0.1751 0.5042
Ir: 0.4126 0.5176 0.2479
Ir: 0.5874 0.4824 0.7521



Among the records above, which one has the lowest ΔE_f? Y2ZnB2Ir5